(1)
Be2CuRu: relaxed, GGA-PBE.

For the volume, the calculation gives 44 Å³ per cell. The calculation puts the formation energy at 44 meV/atom. Its space-group type is F-43m (216). The calculation puts the polymorph energy (0 for the lowest one) at 349 meV/atom.

a = 3.9478 Å, b = 3.9478 Å, c = 3.9478 Å
α = 60.00°, β = 60.00°, γ = 60.00°
Fractional positions:
Ru: 0.7500 0.7500 0.7500
Cu: 0.5000 0.5000 0.5000
Be: 0.0000 0.0000 0.0000
Be: 0.2500 0.2500 0.2500

=====

(2)
Li3ClO: relaxed, GGA-PBE.

For the volume, the calculation gives 135 Å³ per cell. Its space-group type is P-1 (2). The calculation puts the polymorph energy (0 for the lowest one) at 54 meV/atom. The uncorrected formation energy comes out at -8.84 eV per formula unit.

a = 5.5672 Å, b = 5.7081 Å, c = 5.5601 Å
α = 68.60°, β = 57.16°, γ = 68.61°
Fractional positions:
Cl: 0.3143 0.1645 0.1456
Cl: 0.0790 0.8697 0.9124
O: 0.5363 0.4990 0.3689
O: 0.8570 0.5352 0.6892
Li: 0.8992 0.5155 0.3271
Li: 0.7396 0.2959 0.0713
Li: 0.2388 0.2957 0.5747
Li: 0.4942 0.5187 0.7308
Li: 0.6535 0.7384 0.9868
Li: 0.1545 0.7386 0.4834

=====

(3)
PmDy2N: relaxed, GGA-PBE.

For the volume, the calculation gives 97 Å³ per cell. Its space-group type is R-3m (166). The calculation puts the polymorph energy (0 for the lowest one) at 0 meV/atom. The uncorrected formation energy comes out at -3.12 eV per formula unit.

a = 3.5040 Å, b = 3.5040 Å, c = 9.3002 Å
α = 79.14°, β = 79.14°, γ = 60.00°
Fractional positions:
N: 0.0000 0.0000 0.0000
Pm: 0.5000 0.5000 0.5000
Dy: 0.7165 0.7165 0.8505
Dy: 0.2835 0.2835 0.1495

=====

(4)
Nd4AgC: relaxed, GGA-PBE.

For the volume, the calculation gives 341 Å³ per cell. The calculation puts the formation energy at -37 meV/atom. Its space-group type is C2/c (15).

a = 6.4261 Å, b = 7.6921 Å, c = 8.3614 Å
α = 110.63°, β = 104.80°, γ = 106.26°
Fractional positions:
Nd: 0.2954 0.9336 0.5979
Nd: 0.0217 0.8274 0.0945
Nd: 0.1975 0.3357 0.4021
Nd: 0.4272 0.7329 0.9055
Nd: 0.7046 0.0664 0.4021
Nd: 0.8025 0.6643 0.5979
Nd: 0.9783 0.1726 0.9055
Nd: 0.5728 0.2671 0.0945
Ag: 0.3683 0.6183 0.2365
Ag: 0.6317 0.3817 0.7635
C: 0.8197 0.0697 0.1394
C: 0.1803 0.9303 0.8606

=====

(5)
Zn3CdIn3: relaxed, GGA-PBE.

For the volume, the calculation gives 449 Å³ per cell. The calculation puts the formation energy at 445 meV/atom. Its space-group type is Pm-3n (223).

a = 7.6567 Å, b = 7.6567 Å, c = 7.6567 Å
α = 90.00°, β = 90.00°, γ = 90.00°
Fractional positions:
Zn: 0.2500 0.0000 0.5000
Zn: 0.0000 0.5000 0.2500
Zn: 0.5000 0.7500 0.0000
Zn: 0.7500 0.0000 0.5000
Zn: 0.0000 0.5000 0.7500
Zn: 0.5000 0.2500 0.0000
Cd: 0.5000 0.5000 0.5000
Cd: 0.0000 0.0000 0.0000
In: 0.0000 0.2500 0.5000
In: 0.0000 0.7500 0.5000
In: 0.5000 0.0000 0.7500
In: 0.7500 0.5000 0.0000
In: 0.5000 0.0000 0.2500
In: 0.2500 0.5000 0.0000

=====

(6)
TePAu2: relaxed, GGA-PBE.

For the volume, the calculation gives 81 Å³ per cell. Its space-group type is I-4m2 (119). The calculation puts the polymorph energy (0 for the lowest one) at 420 meV/atom. The uncorrected formation energy comes out at 1.92 eV per formula unit.

a = 5.1644 Å, b = 5.1644 Å, c = 5.1644 Å
α = 129.21°, β = 129.21°, γ = 74.68°
Fractional positions:
Te: 0.7500 0.2500 0.5000
P: 0.5000 0.5000 0.0000
Au: 0.0000 0.0000 0.0000
Au: 0.2500 0.7500 0.5000

=====

(7)
Sm2Cu3Sn4Pd: relaxed, GGA-PBE.

For the volume, the calculation gives 215 Å³ per cell. The calculation puts the formation energy at -474 meV/atom. Its space-group type is P-4m2 (115).

a = 4.4615 Å, b = 4.4615 Å, c = 10.7829 Å
α = 90.00°, β = 90.00°, γ = 90.00°
Fractional positions:
Sm: 0.5000 0.0000 0.2576
Sm: 0.0000 0.5000 0.7424
Cu: 0.0000 0.0000 0.5000
Cu: 0.5000 0.0000 0.8654
Cu: 0.0000 0.5000 0.1346
Sn: 0.5000 0.5000 0.0000
Sn: 0.0000 0.0000 0.0000
Sn: 0.5000 0.0000 0.6321
Sn: 0.0000 0.5000 0.3679
Pd: 0.5000 0.5000 0.5000

=====

(8)
ZnIn6Pb2: relaxed, GGA-PBE.

For the volume, the calculation gives 250 Å³ per cell. The calculation puts the formation energy at 60 meV/atom. Its space-group type is Amm2 (38).

a = 4.1306 Å, b = 8.0700 Å, c = 8.5121 Å
α = 118.30°, β = 90.00°, γ = 90.00°
Fractional positions:
Zn: 0.5000 0.0086 0.0000
In: 0.5000 0.6051 0.0000
In: 0.5000 0.3605 0.3507
In: 0.5000 0.0098 0.6493
In: 0.0000 0.2651 0.0000
In: 0.0000 0.7604 0.7755
In: 0.0000 0.9848 0.2245
Pb: 0.0000 0.3211 0.6366
Pb: 0.0000 0.6846 0.3634

=====

(9)
ZrPb4Cl: relaxed, GGA-PBE.

For the volume, the calculation gives 179 Å³ per cell. Its space-group type is F-43m (216). The uncorrected formation energy comes out at 1.42 eV per formula unit.

a = 6.3262 Å, b = 6.3262 Å, c = 6.3262 Å
α = 60.00°, β = 60.00°, γ = 60.00°
Fractional positions:
Zr: 0.7500 0.7500 0.7500
Pb: 0.8735 0.3755 0.3755
Pb: 0.3755 0.3755 0.8735
Pb: 0.3755 0.8735 0.3755
Pb: 0.3755 0.3755 0.3755
Cl: 0.0000 0.0000 0.0000

=====

(10)
CoH8Ir2Pb: relaxed, GGA-PBE.

For the volume, the calculation gives 106 Å³ per cell. Its space-group type is R-3m (166). Its energy is -0.164 Ha/atom.

a = 4.6834 Å, b = 4.6834 Å, c = 6.2001 Å
α = 67.81°, β = 67.81°, γ = 60.00°
Fractional positions:
Co: 0.0000 0.0000 0.0000
H: 0.1957 0.1957 0.4130
H: 0.6530 0.0624 0.2226
H: 0.8043 0.8043 0.5870
H: 0.0619 0.6530 0.2226
H: 0.9381 0.3470 0.7774
H: 0.0624 0.0619 0.2226
H: 0.9376 0.9381 0.7774
H: 0.3470 0.9376 0.7774
Ir: 0.2906 0.2906 0.1283
Ir: 0.7094 0.7094 0.8717
Pb: 0.5000 0.5000 0.5000

=====

(11)
La5Pr2In: relaxed, GGA-PBE.

For the volume, the calculation gives 275 Å³ per cell. The calculation puts the formation energy at -123 meV/atom. Its space-group type is Fmm2 (42).

a = 7.3534 Å, b = 7.3519 Å, c = 6.9276 Å
α = 105.42°, β = 105.44°, γ = 119.91°
Fractional positions:
La: 0.2406 0.3149 0.5005
La: 0.3405 0.7607 0.0000
La: 0.7959 0.2164 0.0002
La: 0.7401 0.8143 0.4992
La: 0.3258 0.2284 0.0000
Pr: 0.2125 0.8027 0.4584
Pr: 0.7539 0.3441 0.5417
In: 0.8136 0.7417 0.9999

=====

(12)
RbBaSr2: relaxed, GGA-PBE.

For the volume, the calculation gives 252 Å³ per cell. The calculation puts the formation energy at 116 meV/atom. Its space-group type is P4/mmm (123). The calculation puts the polymorph energy (0 for the lowest one) at 44 meV/atom.

a = 4.7719 Å, b = 7.2738 Å, c = 7.2738 Å
α = 90.00°, β = 90.00°, γ = 90.00°
Fractional positions:
Sr: 0.0000 0.0000 0.5000
Sr: 0.0000 0.5000 0.0000
Ba: 0.5000 0.5000 0.5000
Rb: 0.5000 0.0000 0.0000

=====

(13)
Nb2AgW: relaxed, GGA-PBE.

For the volume, the calculation gives 151 Å³ per cell. The calculation puts the formation energy at 847 meV/atom. Its space-group type is I-42d (122). The calculation puts the polymorph energy (0 for the lowest one) at 550 meV/atom.

a = 7.3582 Å, b = 7.3582 Å, c = 5.9074 Å
α = 51.48°, β = 51.48°, γ = 90.00°
Fractional positions:
Nb: 0.6362 0.1250 0.2500
Nb: 0.1138 0.6250 0.2500
Nb: 0.3750 0.3638 0.7500
Nb: 0.8750 0.8862 0.7500
Ag: 0.5000 0.5000 0.0000
Ag: 0.2500 0.7500 0.5000
W: 0.0000 0.0000 0.0000
W: 0.7500 0.2500 0.5000

=====

(14)
La2Nd4Er5: relaxed, GGA-PBE.

For the volume, the calculation gives 371 Å³ per cell. The calculation puts the formation energy at 75 meV/atom. Its space-group type is C2/m (12). The calculation puts the polymorph energy (0 for the lowest one) at 0 meV/atom.

a = 3.5554 Å, b = 11.8211 Å, c = 9.0444 Å
α = 94.58°, β = 101.34°, γ = 90.00°
Fractional positions:
La: 0.7140 0.3496 0.4281
La: 0.2860 0.6504 0.5719
Nd: 0.3589 0.2008 0.7179
Nd: 0.9656 0.7449 0.9312
Nd: 0.6411 0.7992 0.2821
Nd: 0.0344 0.2551 0.0688
Er: 0.9062 0.4586 0.8123
Er: 0.0938 0.5414 0.1877
Er: 0.8232 0.9352 0.6463
Er: 0.5000 0.0000 0.0000
Er: 0.1768 0.0648 0.3537

=====

(15)
TaHSe2N: relaxed, GGA-PBE.

For the volume, the calculation gives 65 Å³ per cell. Its space-group type is P4/mmm (123). The calculation puts the polymorph energy (0 for the lowest one) at 595 meV/atom.

a = 3.6207 Å, b = 3.6207 Å, c = 4.9673 Å
α = 90.00°, β = 90.00°, γ = 90.00°
Fractional positions:
H: 0.0000 0.0000 0.0000
N: 0.0000 0.0000 0.5000
Se: 0.0000 0.5000 0.0000
Se: 0.5000 0.0000 0.0000
Ta: 0.5000 0.5000 0.5000

=====

(16)
KRb2BeBr6: relaxed, GGA-PBE.

For the volume, the calculation gives 348 Å³ per cell. Its space-group type is Fm-3m (225). The uncorrected formation energy comes out at -11.63 eV per formula unit.

a = 7.8946 Å, b = 7.8946 Å, c = 7.8967 Å
α = 60.01°, β = 60.01°, γ = 90.00°
Fractional positions:
Be: 0.5000 0.5000 0.0000
K: 0.0000 0.0000 0.0000
Br: 0.2810 0.2810 0.4380
Br: 0.7190 0.7190 0.5620
Br: 0.2811 0.2811 0.0000
Br: 0.7189 0.7189 0.0000
Br: 0.7189 0.2811 0.0000
Br: 0.2811 0.7189 0.0000
Rb: 0.7500 0.2500 0.5000
Rb: 0.2500 0.7500 0.5000

=====

(17)
TaCo2As4: relaxed, GGA-PBE.

For the volume, the calculation gives 144 Å³ per cell. The calculation puts the formation energy at 461 meV/atom. Its space-group type is I4/mmm (139).

a = 4.9475 Å, b = 4.9475 Å, c = 6.8499 Å
α = 68.83°, β = 68.83°, γ = 90.00°
Fractional positions:
As: 0.7828 0.7828 0.4344
As: 0.2172 0.2172 0.5656
As: 0.0000 0.5000 0.0000
As: 0.5000 0.0000 0.0000
Co: 0.5976 0.5976 0.8049
Co: 0.4024 0.4024 0.1951
Ta: 0.0000 0.0000 0.0000

=====

(18)
PrLuBr: relaxed, GGA-PBE.

For the volume, the calculation gives 92 Å³ per cell. Its space-group type is P3m1 (156). The uncorrected formation energy comes out at -0.83 eV per formula unit.

a = 3.8508 Å, b = 5.2438 Å, c = 5.2438 Å
α = 120.00°, β = 90.00°, γ = 90.00°
Fractional positions:
Pr: 0.7374 0.6667 0.3333
Lu: 0.2063 0.3333 0.6667
Br: 0.0563 0.0000 0.0000

=====

(19)
CaNi2Se: relaxed, GGA-PBE.

For the volume, the calculation gives 72 Å³ per cell. Its space-group type is Cm (8). The uncorrected formation energy comes out at -1.74 eV per formula unit.

a = 4.3002 Å, b = 4.3002 Å, c = 5.3322 Å
α = 69.85°, β = 69.85°, γ = 52.37°
Fractional positions:
Ni: 0.0384 0.0384 0.8468
Ni: 0.7385 0.7385 0.7858
Ca: 0.2582 0.2582 0.2338
Se: 0.4648 0.4648 0.6335

=====

(20)
SnBiP: relaxed, GGA-PBE.

For the volume, the calculation gives 91 Å³ per cell. The calculation puts the formation energy at 98 meV/atom. Its space-group type is Cm (8). The calculation puts the polymorph energy (0 for the lowest one) at 49 meV/atom.

a = 3.7913 Å, b = 3.7903 Å, c = 7.6688 Å
α = 75.65°, β = 75.74°, γ = 59.98°
Fractional positions:
Sn: 0.7932 0.8339 0.9494
Bi: 0.9325 0.9795 0.5204
P: 0.0680 0.1074 0.1269